A plane-wave DFT calculation with PBE was carried out for a geometry-optimized RbGaAu3 structure.

Cell lengths 6.118, 6.118, 6.118 Å; angles 90.00, 90.00, 90.00 degrees
Sites, in units of the cell vectors:
Rb 0.000 0.000 0.000
Ga 0.500 0.500 0.500
Au 0.000 0.000 0.500
Au 0.000 0.500 0.000
Au 0.500 0.000 0.000

energy	-1.70	eV/atom
SG	Pm-3m (221)
energy of formation from the pure elements	1.0643	eV per atom
crystal system	cubic
relative energy among the computed polymorphs	1299.5	meV/atom

=====

A plane-wave DFT calculation with PBE was carried out for a geometry-optimized Pm2TmGa4Pt3 structure.

Cell lengths 4.216, 4.216, 11.634 Å; angles 90.00, 90.00, 90.00 degrees
Sites, in units of the cell vectors:
Pm 0.000 0.500 0.228
Pm 0.500 0.000 0.772
Tm 0.000 0.000 0.500
Ga 0.000 0.000 0.000
Ga 0.000 0.500 0.663
Ga 0.500 0.000 0.337
Ga 0.500 0.500 0.000
Pt 0.000 0.500 0.875
Pt 0.500 0.000 0.125
Pt 0.500 0.500 0.500

energy	-5.31	eV/atom
SG	P-4m2 (115)
energy of formation from the pure elements	-0.8944	eV per atom
crystal system	tetragonal

=====

A plane-wave DFT calculation with PBE was carried out for a geometry-optimized Ba5Cd structure.

Cell lengths 10.293, 10.293, 10.293 Å; angles 128.01, 128.01, 76.61 degrees
Sites, in units of the cell vectors:
Ba 0.000 0.000 0.000
Ba 0.021 0.521 0.827
Ba 0.194 0.021 0.500
Ba 0.306 0.806 0.827
Ba 0.479 0.306 0.500
Ba 0.500 0.500 0.000
Ba 0.521 0.694 0.500
Ba 0.694 0.194 0.173
Ba 0.806 0.979 0.500
Ba 0.979 0.479 0.173
Cd 0.250 0.250 0.000
Cd 0.750 0.750 0.000

energy	-1.76	eV/atom
SG	I4/mcm (140)
energy of formation from the pure elements	-0.0052	eV per atom
crystal system	tetragonal
relative energy among the computed polymorphs	85.2	meV/atom

=====

A plane-wave DFT calculation with PBE was carried out for a geometry-optimized ScCo2BIr structure.

Cell lengths 3.918, 3.918, 4.083 Å; angles 90.00, 90.00, 90.00 degrees
Sites, in units of the cell vectors:
Sc 0.000 0.000 0.000
Co 0.000 0.500 0.500
Co 0.500 0.000 0.500
B 0.500 0.500 0.500
Ir 0.500 0.500 0.000

energy	-7.72	eV/atom
SG	P4/mmm (123)
energy of formation from the pure elements	-0.5034	eV per atom
crystal system	tetragonal

=====

A plane-wave DFT calculation with PBE was carried out for a geometry-optimized AgPOs2 structure.

Cell lengths 9.120, 9.120, 9.120 Å; angles 154.38, 154.38, 36.54 degrees
Sites, in units of the cell vectors:
Ag 0.000 0.000 0.000
Ag 0.750 0.250 0.500
P 0.250 0.750 0.500
P 0.500 0.500 0.000
Os 0.220 0.625 0.095
Os 0.375 0.470 0.595
Os 0.530 0.125 0.905
Os 0.875 0.780 0.405

energy	-6.77	eV/atom
SG	I-42d (122)
energy of formation from the pure elements	0.9082	eV per atom
crystal system	tetragonal

=====

A plane-wave DFT calculation with PBE was carried out for a geometry-optimized NiHgBr2 structure.

Cell lengths 6.948, 6.948, 6.948 Å; angles 115.02, 115.02, 98.87 degrees
Sites, in units of the cell vectors:
Ni 0.000 0.000 0.000
Ni 0.750 0.250 0.500
Hg 0.250 0.750 0.500
Hg 0.500 0.500 0.000
Br 0.375 0.241 0.366
Br 0.759 0.125 0.134
Br 0.875 0.009 0.634
Br 0.991 0.625 0.866

energy	-2.43	eV/atom
energy relative to the elements, uncorrected	-70	meV/atom
SG	I-42d (122)
crystal system	tetragonal
relative energy among the computed polymorphs	167.8	meV/atom

=====

A plane-wave DFT calculation with PBE was carried out for a geometry-optimized MgZnRe2Ge structure.

Cell lengths 4.593, 4.593, 4.694 Å; angles 90.00, 90.00, 90.00 degrees
Sites, in units of the cell vectors:
Mg 0.000 0.000 0.000
Zn 0.500 0.500 0.000
Re 0.000 0.500 0.500
Re 0.500 0.000 0.500
Ge 0.000 0.000 0.500

energy	-5.14	eV/atom
SG	P4/mmm (123)
energy of formation from the pure elements	1.3340	eV per atom
crystal system	tetragonal

=====

A plane-wave DFT calculation with PBE was carried out for a geometry-optimized RbPmSe2 structure.

Cell lengths 8.404, 8.404, 8.404 Å; angles 29.99, 29.99, 29.99 degrees
Sites, in units of the cell vectors:
Rb 0.000 0.000 0.000
Pm 0.500 0.500 0.500
Se 0.233 0.233 0.233
Se 0.767 0.767 0.767

energy	-4.91	eV/atom
energy relative to the elements, uncorrected	-1739	meV/atom
SG	R-3m (166)
crystal system	trigonal

=====

A plane-wave DFT calculation with PBE was carried out for a geometry-optimized TlP2Au structure.

Cell lengths 4.461, 3.889, 5.525 Å; angles 90.00, 101.68, 90.00 degrees
Sites, in units of the cell vectors:
Tl 0.000 0.000 0.000
P 0.221 0.500 0.625
P 0.779 0.500 0.375
Au 0.500 0.000 0.500

energy	-4.15	eV/atom
SG	P2/m (10)
energy of formation from the pure elements	-0.0298	eV per atom
crystal system	monoclinic
relative energy among the computed polymorphs	0.0	meV/atom

=====

A plane-wave DFT calculation with PBE was carried out for a geometry-optimized SrTbH6Pt2 structure.

Cell lengths 6.296, 6.296, 6.686 Å; angles 103.88, 103.88, 102.72 degrees
Sites, in units of the cell vectors:
Sr 0.154 0.846 0.750
Sr 0.846 0.154 0.250
Tb 0.409 0.591 0.250
Tb 0.591 0.409 0.750
H 0.086 0.567 0.371
H 0.161 0.220 0.011
H 0.220 0.161 0.511
H 0.315 0.531 0.881
H 0.433 0.914 0.129
H 0.469 0.685 0.619
H 0.531 0.315 0.381
H 0.567 0.086 0.871
H 0.685 0.469 0.119
H 0.780 0.839 0.489
H 0.839 0.780 0.989
H 0.914 0.433 0.629
Pt 0.051 0.332 0.821
Pt 0.332 0.051 0.321
Pt 0.668 0.949 0.679
Pt 0.949 0.668 0.179

energy	-4.44	eV/atom
SG	C2/c (15)
crystal system	monoclinic

=====

A plane-wave DFT calculation with PBE was carried out for a geometry-optimized SmTmTlAu structure.

Cell lengths 5.264, 5.264, 5.264 Å; angles 60.00, 60.00, 60.00 degrees
Sites, in units of the cell vectors:
Sm 0.000 0.000 0.000
Tm 0.500 0.500 0.500
Tl 0.250 0.250 0.250
Au 0.750 0.750 0.750

energy	-4.26	eV/atom
SG	F-43m (216)
energy of formation from the pure elements	-0.5466	eV per atom
crystal system	cubic
relative energy among the computed polymorphs	60.0	meV/atom

=====

A plane-wave DFT calculation with PBE was carried out for a geometry-optimized BeSiSe structure.

Cell lengths 3.432, 3.432, 11.184 Å; angles 95.78, 95.78, 60.31 degrees
Sites, in units of the cell vectors:
Be 0.223 0.223 0.249
Be 0.777 0.777 0.751
Si 0.083 0.083 0.616
Si 0.917 0.917 0.384
Se 0.132 0.132 0.842
Se 0.868 0.868 0.158

energy	-4.15	eV/atom
energy relative to the elements, uncorrected	62	meV/atom
SG	C2/m (12)
crystal system	monoclinic
relative energy among the computed polymorphs	466.0	meV/atom

=====

A plane-wave DFT calculation with PBE was carried out for a geometry-optimized Er2Cu3Ge2 structure.

Cell lengths 9.193, 9.193, 3.950 Å; angles 90.00, 90.00, 156.65 degrees
Sites, in units of the cell vectors:
Er 0.157 0.843 0.000
Er 0.843 0.157 0.000
Cu 0.000 0.000 0.000
Cu 0.435 0.565 0.500
Cu 0.565 0.435 0.500
Ge 0.297 0.703 0.500
Ge 0.703 0.297 0.500

energy	-4.56	eV/atom
SG	Cmmm (65)
energy of formation from the pure elements	-0.1837	eV per atom
crystal system	orthorhombic

=====

A plane-wave DFT calculation with PBE was carried out for a geometry-optimized PaSb2Ru structure.

Cell lengths 6.323, 6.323, 6.323 Å; angles 39.75, 39.75, 39.75 degrees
Sites, in units of the cell vectors:
Pa 0.000 0.000 0.000
Sb 0.231 0.231 0.231
Sb 0.769 0.769 0.769
Ru 0.500 0.500 0.500

energy	-6.98	eV/atom
energy relative to the elements, uncorrected	-229	meV/atom
SG	R-3m (166)
crystal system	trigonal

=====

A plane-wave DFT calculation with PBE was carried out for a geometry-optimized IrWCl2 structure.

Cell lengths 4.536, 4.536, 4.536 Å; angles 120.11, 120.11, 89.81 degrees
Sites, in units of the cell vectors:
Ir 0.000 0.000 0.000
W 0.250 0.750 0.500
Cl 0.500 0.500 0.000
Cl 0.750 0.250 0.500

energy	-5.48	eV/atom
energy relative to the elements, uncorrected	893	meV/atom
SG	I-4m2 (119)
crystal system	tetragonal
relative energy among the computed polymorphs	1078.2	meV/atom

=====

A plane-wave DFT calculation with PBE was carried out for a geometry-optimized Dy4BiSe3 structure.

Cell lengths 4.189, 5.920, 8.365 Å; angles 90.00, 90.00, 90.00 degrees
Sites, in units of the cell vectors:
Dy 0.000 0.000 0.000
Dy 0.000 0.000 0.500
Dy 0.500 0.500 0.230
Dy 0.500 0.500 0.770
Bi 0.000 0.500 0.500
Se 0.000 0.500 0.000
Se 0.500 0.000 0.248
Se 0.500 0.000 0.752

energy	-5.58	eV/atom
energy relative to the elements, uncorrected	-1490	meV/atom
SG	Pmmm (47)
crystal system	orthorhombic

=====

A plane-wave DFT calculation with PBE was carried out for a geometry-optimized Tc3PtSe structure.

Cell lengths 4.483, 4.483, 4.483 Å; angles 90.00, 90.00, 90.00 degrees
Sites, in units of the cell vectors:
Tc 0.000 0.000 0.500
Tc 0.000 0.500 0.000
Tc 0.500 0.000 0.000
Pt 0.500 0.500 0.500
Se 0.000 0.000 0.000

energy	-6.98	eV/atom
energy relative to the elements, uncorrected	1141	meV/atom
SG	Pm-3m (221)
crystal system	cubic
relative energy among the computed polymorphs	0.0	meV/atom

=====

A plane-wave DFT calculation with PBE was carried out for a geometry-optimized As2PtPb structure.

Cell lengths 4.993, 4.993, 3.289 Å; angles 90.00, 90.00, 90.00 degrees
Sites, in units of the cell vectors:
As 0.000 0.500 0.000
As 0.500 0.000 0.000
Pt 0.000 0.000 0.500
Pb 0.500 0.500 0.500

energy	-4.45	eV/atom
SG	P4/mmm (123)
energy of formation from the pure elements	0.3080	eV per atom
crystal system	tetragonal

=====

A plane-wave DFT calculation with PBE was carried out for a geometry-optimized CrRu2Au structure.

Cell lengths 4.411, 4.411, 4.411 Å; angles 60.00, 60.00, 60.00 degrees
Sites, in units of the cell vectors:
Cr 0.000 0.000 0.000
Ru 0.500 0.500 0.500
Ru 0.750 0.750 0.750
Au 0.250 0.250 0.250

energy	-7.34	eV/atom
SG	F-43m (216)
energy of formation from the pure elements	0.5253	eV per atom
crystal system	cubic
relative energy among the computed polymorphs	327.3	meV/atom

=====

A plane-wave DFT calculation with PBE was carried out for a geometry-optimized Sc2SiPb structure.

Cell lengths 3.975, 5.671, 5.671 Å; angles 43.09, 90.00, 90.00 degrees
Sites, in units of the cell vectors:
Sc 0.000 0.000 0.000
Sc 0.500 0.270 0.270
Si 0.000 0.740 0.740
Pb 0.500 0.548 0.548

energy	-5.89	eV/atom
energy relative to the elements, uncorrected	-444	meV/atom
SG	Amm2 (38)
crystal system	orthorhombic
relative energy among the computed polymorphs	0.0	meV/atom